Density functional theory data (PBE) for crystalline LaPr3Tm12 at its relaxed geometry. Values from VASP.

```
&SYSTEM
  ibrav = 0, nat = 16, ntyp = 3
/
ATOMIC_SPECIES
Tm 168.93 Tm.upf
Pr 140.91 Pr.upf
La 138.91 La.upf
ATOMIC_POSITIONS crystal
Tm 0.000 0.500 0.126
Tm 0.500 0.000 0.126
Tm 0.500 0.500 0.749
Tm 0.000 0.500 0.625
Tm 0.500 0.500 0.500
Tm 0.000 0.500 0.874
Tm 0.500 0.500 0.251
Tm 0.500 0.000 0.874
Tm 0.500 0.500 0.000
Tm 0.500 0.000 0.375
Tm 0.500 0.000 0.625
Tm 0.000 0.500 0.375
Pr 0.000 0.000 0.500
Pr 0.000 0.000 0.250
Pr 0.000 0.000 0.750
La 0.000 0.000 0.000
CELL_PARAMETERS angstrom
5.021 0.000 0.000
0.000 5.021 0.000
0.000 0.000 20.075
```

## Properties
* final energy: -72.39 eV for the cell shown
* formation energy from the elements: 0.54 eV/f.u.